Record 1
Co3H2 | PBE | relaxed

Structure (extended XYZ):
```
5
Lattice="2.5312 0.0000 0.5141 1.2134 2.2214 0.5141 0.0057 0.0034 6.4595" Properties=species:S:1:pos:R:3 pbc="T T T"
Co 0.0000 0.0000 0.0000
Co 2.9304 1.7384 5.0362
Co 0.8198 0.4864 2.4516
H 1.4589 0.8654 5.7933
H 2.2914 1.3593 1.6945
```

As for the space-group type: R-3m, No. 166. For the density of states at the Fermi level, the calculation gives 2.84 states/eV/cell. For the offset from the most stable computed form, the calculation gives 0.00 eV per formula unit. For the density, the calculation gives 8.18 g cm⁻³.

=====

Record 2
CdCSe2 | PBE | relaxed

Structure (extended XYZ):
```
4
Lattice="-5.3734 0.1718 5.1936 -3.0128 -4.3096 5.3129 -0.8432 -0.2465 7.4232" Properties=species:S:1:pos:R:3 pbc="T T T"
C 0.0000 0.0000 0.0000
Se -8.4596 -4.0187 16.4345
Se -0.7697 -0.3656 1.4952
Cd -4.6147 -2.1922 8.9649
```

As for the space-group type: R-3m, No. 166. For the density of states at the Fermi level, the calculation gives 0.01 states/eV/cell. For the offset from the most stable computed form, the calculation gives 0.00 eV per formula unit. The calculation puts the uncorrected formation energy at 0.651 eV/atom. For the density, the calculation gives 3.07 g cm⁻³.

=====

Record 3
PaGaRu | PBE | relaxed

Structure (extended XYZ):
```
3
Lattice="-3.9406 -0.4136 -2.1571 -2.9075 -3.2292 1.2130 -3.8433 1.0954 2.0934" Properties=species:S:1:pos:R:3 pbc="T T T"
Ru -2.6728 -0.6369 0.2873
Pa 0.0000 0.0000 0.0000
Ga -5.3457 -1.2737 0.5746
```

As for the space-group type: F-43m, No. 216. For the density of states at the Fermi level, the calculation gives 4.60 states/eV/cell. For the density, the calculation gives 10.28 g cm⁻³.

=====

Record 4
LaThPdRh | PBE | relaxed

Structure (extended XYZ):
```
4
Lattice="-3.4869 0.3117 3.7155 1.3443 -0.8917 4.8434 0.1765 3.8481 3.3498" Properties=species:S:1:pos:R:3 pbc="T T T"
Rh -0.9830 1.6341 5.9544
Pd 0.0000 0.0000 0.0000
Th -0.4915 0.8170 2.9772
La -1.4746 2.4511 8.9315
```

As for the space-group type: F-43m, No. 216. For the density of states at the Fermi level, the calculation gives 5.10 states/eV/cell. For the offset from the most stable computed form, the calculation gives 0.68 eV per formula unit. For the density, the calculation gives 10.24 g cm⁻³.

=====

Record 5
Pr5AgSn3 | PBE | relaxed

Structure (extended XYZ):
```
18
Lattice="9.6502 0.0000 0.0000 -4.8251 8.3573 0.0000 0.0000 0.0000 6.8029" Properties=species:S:1:pos:R:3 pbc="T T T"
Pr 2.6521 0.0000 5.1022
Pr 6.9981 0.0000 1.7007
Pr -1.3260 2.2968 5.1022
Pr -3.4990 6.0605 1.7007
Pr 3.4990 6.0605 5.1022
Pr 1.3260 2.2968 1.7007
Pr 0.0000 5.5715 3.4014
Pr 4.8251 2.7858 3.4014
Pr 4.8251 2.7858 0.0000
Pr 0.0000 5.5715 0.0000
Ag 0.0000 0.0000 3.4014
Ag 0.0000 0.0000 0.0000
Sn 6.0116 0.0000 5.1022
Sn 3.6386 0.0000 1.7007
Sn -3.0058 5.2062 5.1022
Sn -1.8193 3.1511 1.7007
Sn 1.8193 3.1511 5.1022
Sn 3.0058 5.2062 1.7007
```

As for the space-group type: P6_3/mcm, No. 193. For the density of states at the Fermi level, the calculation gives 15.68 states/eV/cell. For the density, the calculation gives 7.07 g cm⁻³.

=====

Record 6
ErNi4B2 | PBE | relaxed

Structure (extended XYZ):
```
7
Lattice="3.5362 0.0000 0.0000 0.0000 3.5581 0.0000 0.0000 -1.7791 6.1635" Properties=species:S:1:pos:R:3 pbc="T T T"
Er 0.0000 0.0000 0.0000
Ni 1.7681 1.7791 3.9889
Ni 0.0000 1.7791 2.1545
Ni 1.7681 0.0000 2.1746
Ni 0.0000 0.0000 4.0089
B 1.7681 1.7791 1.0592
B 1.7681 0.0000 5.1043
```

As for the space-group type: Cmmm, No. 65. For the density of states at the Fermi level, the calculation gives 2.82 states/eV/cell. For the density, the calculation gives 9.07 g cm⁻³.

=====

Record 7
Th3FeSi3 | PBE | relaxed

Structure (extended XYZ):
```
14
Lattice="-2.1065 -0.4421 3.6748 -1.4038 -5.5685 0.9931 10.4254 -2.2383 8.1747" Properties=species:S:1:pos:R:3 pbc="T T T"
Th 4.8524 -3.4748 7.2990
Th 2.0627 -4.7742 5.5435
Th 1.4963 -2.0956 3.0734
Th 5.4188 -6.1533 9.7692
Th 8.3564 -3.8307 9.2648
Th -1.4412 -4.4183 3.5778
Fe 2.5709 -1.6246 6.2138
Fe 4.3442 -6.6244 6.6288
Si 2.8393 -5.8287 8.3296
Si 4.0758 -2.4203 4.5130
Si 8.2023 -6.8828 8.8093
Si -1.2872 -1.3662 4.0333
Si -0.6672 -5.7263 6.3319
Si 7.5823 -2.5227 6.5107
```

As for the space-group type: C2/m, No. 12. For the density of states at the Fermi level, the calculation gives 14.19 states/eV/cell. The calculation puts the uncorrected formation energy at -0.621 eV/atom. For the density, the calculation gives 9.06 g cm⁻³.

=====

Record 8
Cr5As3 | PBE | relaxed

Structure (extended XYZ):
```
8
Lattice="3.3361 -3.8552 0.0000 3.3361 3.8552 0.0000 0.0000 0.0000 4.1633" Properties=species:S:1:pos:R:3 pbc="T T T"
Cr 0.0000 0.0000 0.0000
Cr 1.6680 1.9276 0.0000
Cr 1.6680 -1.9276 0.0000
Cr 1.9987 0.0000 2.0817
Cr 4.6734 0.0000 2.0817
As 3.3361 0.0000 0.0000
As 3.3361 -2.2690 2.0817
As 3.3361 2.2690 2.0817
```

As for the space-group type: Cmmm, No. 65. For the density of states at the Fermi level, the calculation gives 8.09 states/eV/cell. For the offset from the most stable computed form, the calculation gives 0.36 eV per formula unit. For the density, the calculation gives 7.52 g cm⁻³.

=====

no.,M_tot (Bohr magnetons per cell),electronic total energy (eV per atom)
1,4.21,-5.61
2,0.00,-3.63
3,0.00,-7.57
4,0.00,-6.90
5,0.00,-4.95
6,0.00,-6.28
7,2.73,-7.33
8,3.63,-7.70